[1]
Hf6Al16Pd7 | GGA-PBE | relaxed

Properties
Calculated formation energy, meV per atom: -708

The structure in POSCAR format:
```
Hf6Al16Pd7
1.0
8.763 0.000 0.000
4.382 7.589 0.000
4.382 2.530 7.155
Al Hf Pd
16 6 7
direct
0.880 0.880 0.361
0.996 0.335 0.335
0.665 0.665 0.665
0.880 0.361 0.880
0.004 0.665 0.665
0.120 0.120 0.639
0.335 0.335 0.996
0.120 0.639 0.120
0.665 0.004 0.665
0.120 0.120 0.120
0.880 0.880 0.880
0.335 0.996 0.335
0.665 0.665 0.004
0.639 0.120 0.120
0.335 0.335 0.335
0.361 0.880 0.880
0.318 0.318 0.682
0.318 0.682 0.318
0.318 0.682 0.682
0.682 0.682 0.318
0.682 0.318 0.682
0.682 0.318 0.318
0.500 0.000 0.500
0.000 0.000 0.500
0.000 0.000 0.000
0.500 0.000 0.000
0.000 0.500 0.500
0.500 0.500 0.000
0.000 0.500 0.000
```

***

[2]
MgZr3H3 | GGA-PBE | relaxed

Properties
Uncorrected energy, hartree per atom: -0.206

The structure in POSCAR format:
```
MgZr3H3
1.0
5.855 0.000 0.000
0.000 5.855 0.000
0.000 0.000 5.855
H Zr Mg
6 6 2
direct
0.500 0.750 0.000
0.500 0.250 0.000
0.750 0.000 0.500
0.250 0.000 0.500
0.000 0.500 0.750
0.000 0.500 0.250
0.750 0.500 0.000
0.500 0.000 0.250
0.250 0.500 0.000
0.000 0.750 0.500
0.500 0.000 0.750
0.000 0.250 0.500
0.000 0.000 0.000
0.500 0.500 0.500
```

***

[3]
RbThO3 | GGA-PBE | relaxed

Properties
Energy relative to the elements, uncorrected, eV/atom: -2.585

The structure in POSCAR format:
```
RbThO3
1.0
4.535 0.000 0.000
0.000 4.535 0.000
0.000 0.000 4.535
Th Rb O
1 1 3
direct
0.000 0.000 0.000
0.500 0.500 0.500
0.500 0.000 0.000
0.000 0.000 0.500
0.000 0.500 0.000
```

***

[4]
BaSc2In | GGA-PBE | relaxed

Properties
Calculated formation energy, meV per atom: 95

The structure in POSCAR format:
```
BaSc2In
1.0
-4.490 -1.678 -1.165
1.484 -0.749 -4.644
1.375 -4.487 1.163
Ba In Sc
1 1 2
direct
0.500 0.000 0.500
0.000 0.500 0.500
0.000 0.000 0.000
0.500 0.500 0.000
```

***

[5]
HgBi4Pb7 | GGA-PBE | relaxed

Properties
Calculated formation energy, meV per atom: 79
Offset from the most stable computed form, meV per atom: 0

The structure in POSCAR format:
```
HgBi4Pb7
1.0
5.838 0.000 0.000
2.919 9.228 0.130
2.919 0.542 7.895
Pb Bi Hg
7 4 1
direct
0.918 0.320 0.844
0.648 0.421 0.284
0.799 0.870 0.532
0.500 0.000 0.000
0.201 0.130 0.468
0.352 0.579 0.716
0.082 0.680 0.156
0.568 0.222 0.641
0.728 0.664 0.880
0.272 0.336 0.120
0.432 0.778 0.359
0.000 0.000 0.000
```

***

[6]
Li4InRh | GGA-PBE | relaxed

Properties
Calculated formation energy, meV per atom: -124
Offset from the most stable computed form, meV per atom: 119

The structure in POSCAR format:
```
Li4InRh
1.0
0.000 3.503 3.503
3.503 0.000 3.503
3.503 3.503 0.000
Li Rh In
4 1 1
direct
0.377 0.377 0.377
0.377 0.869 0.377
0.869 0.377 0.377
0.377 0.377 0.869
0.750 0.750 0.750
0.000 0.000 0.000
```

***

[7]
TaS6Cl2 | GGA-PBE | relaxed

Properties
Energy relative to the elements, uncorrected, eV/atom: -0.385

The structure in POSCAR format:
```
TaS6Cl2
1.0
5.856 0.353 2.403
2.351 7.000 3.113
0.970 2.206 7.093
S Cl Ta
6 2 1
direct
0.783 0.737 0.473
0.140 0.695 0.404
0.860 0.305 0.596
0.217 0.263 0.527
0.461 0.024 0.868
0.539 0.976 0.132
0.869 0.289 0.062
0.131 0.711 0.938
0.000 0.000 0.000
```

***

[8]
TeAu2Br | GGA-PBE | relaxed

Properties
Energy relative to the elements, uncorrected, eV/atom: 0.346
Offset from the most stable computed form, meV per atom: 378

The structure in POSCAR format:
```
TeAu2Br
1.0
-0.792 1.166 -3.248
2.692 -1.725 -1.275
-4.455 -6.128 -1.114
Au Te Br
2 1 1
direct
0.000 0.000 0.977
0.000 0.000 0.523
0.500 0.500 0.750
0.500 0.500 0.250
```

***

[9]
Li2FeTc | GGA-PBE | relaxed

Properties
Calculated formation energy, meV per atom: 274
Offset from the most stable computed form, meV per atom: 77

The structure in POSCAR format:
```
Li2FeTc
1.0
4.968 0.001 0.020
4.284 2.515 0.020
0.973 0.265 4.216
Tc Fe Li
1 1 2
direct
0.750 0.750 0.750
0.250 0.250 0.250
0.507 0.507 0.496
0.993 0.993 0.004
```

***

[10]
AcAg6Au6 | GGA-PBE | relaxed

Properties
Calculated formation energy, meV per atom: -188

The structure in POSCAR format:
```
AcAg6Au6
1.0
5.725 0.000 0.000
2.862 6.746 -0.060
2.862 0.101 6.745
Ag Au Ac
6 6 1
direct
0.500 0.000 0.500
0.000 0.500 0.000
0.500 0.771 0.229
0.000 0.000 0.500
0.500 0.229 0.771
0.500 0.500 0.000
0.706 0.794 0.794
0.000 0.654 0.346
0.000 0.346 0.654
0.654 0.346 0.346
0.294 0.206 0.206
0.346 0.654 0.654
0.000 0.000 0.000
```

***

[11]
Pm8Te3As3N | GGA-PBE | relaxed

Properties
Energy relative to the elements, uncorrected, eV/atom: -1.331

The structure in POSCAR format:
```
Pm8Te3As3N
1.0
8.410 -0.001 -0.001
-4.206 7.287 -0.029
0.000 -4.832 7.318
Pm Te N As
8 3 1 3
direct
0.228 0.015 0.303
0.212 0.424 0.697
0.212 0.985 0.697
0.772 0.985 0.697
0.788 0.015 0.303
0.261 0.522 0.284
0.788 0.576 0.303
0.739 0.478 0.716
0.500 0.500 0.000
0.000 0.000 0.000
0.000 0.500 0.000
0.000 0.000 0.500
0.000 0.500 0.500
0.500 0.000 0.500
0.500 0.500 0.500
```

***

[12]
TlHgCl2 | GGA-PBE | relaxed

Properties
Energy relative to the elements, uncorrected, eV/atom: -0.529
Offset from the most stable computed form, meV per atom: 99

The structure in POSCAR format:
```
TlHgCl2
1.0
5.561 -0.038 -0.065
0.045 5.563 -0.064
0.880 0.868 3.746
Cl Tl Hg
2 1 1
direct
0.000 0.000 0.000
0.500 0.500 0.000
0.000 0.500 0.500
0.500 0.000 0.500
```

***

[13]
PPtRh2 | GGA-PBE | relaxed

Properties
Calculated formation energy, meV per atom: -78

The structure in POSCAR format:
```
PPtRh2
1.0
3.884 0.000 0.000
0.000 3.884 0.000
0.000 0.000 3.756
Pt Rh P
1 2 1
direct
0.000 0.000 0.500
0.500 0.000 0.000
0.000 0.500 0.000
0.500 0.500 0.500
```

***

no.,N(E_F) (states/eV per cell)
1,4.2
2,8.8
3,4.0
4,5.7
5,5.7
6,2.4
7,3.6
8,1.7
9,3.5
10,3.8
11,9.7
12,1.5
13,2.4